{"formula": "Si2OsCl", "functional": "PBE", "state": "relaxed", "e_form_raw_kj_per_mol_atoms": 81.2, "final_energy_ev_per_atom": -5.14, "total_magnetization_mub_per_fu": 0.0, "cell": [[2.832, 0.000, 0.000], [0.000, 4.660, 0.000], [0.000, 0.000, 4.533]], "species": ["Os", "Si", "Si", "Cl"], "frac_coords": [[0.000, 0.500, 0.500], [0.500, 0.500, 0.000], [0.000, 0.000, 0.000], [0.500, 0.000, 0.500]]}